Density functional theory data (PBE-GGA) for an optimized crystal structure of TiSi2AgH.

Geometry as POSCAR:
```
TiSi2AgH
1.0
5.011 0.000 0.000
0.000 5.011 0.000
0.000 0.000 3.121
Ti Si Ag H
1 2 1 1
direct
0.000 0.000 0.000
0.000 0.500 0.500
0.500 0.000 0.500
0.500 0.500 0.500
0.500 0.500 0.000
```

DOS(E_F), states/eV per atom: 0.533
Total energy, eV per formula unit: -22.2
ρ, g cm⁻³: 4.5
SG: P4/mmm
M_tot, μB per cell: 0.000